Computed, not measured: a relaxed structure of Sc11In9Rh4 at the GGA-PBE level of DFT.

Cell and atoms, written as POSCAR:
```
Sc11In9Rh4
1.0
-1.754 -2.938 0.083
-0.497 -0.059 -12.593
10.186 -5.957 4.425
Sc In Rh
11 9 4
direct
0.000 0.311 0.311
0.000 0.158 0.842
0.000 0.000 0.000
0.000 0.373 0.627
0.000 0.922 0.583
0.000 0.689 0.689
0.000 0.078 0.417
0.000 0.417 0.078
0.000 0.583 0.922
0.000 0.842 0.158
0.000 0.627 0.373
0.500 0.928 0.783
0.500 0.633 0.153
0.500 0.072 0.217
0.500 0.367 0.847
0.500 0.783 0.928
0.500 0.847 0.367
0.500 0.217 0.072
0.500 0.500 0.500
0.500 0.153 0.633
0.500 0.753 0.550
0.500 0.247 0.450
0.500 0.550 0.753
0.500 0.450 0.247
```

Output
- DOS at the Fermi energy (states/eV/atom) = 0.56
- energy (eV/f.u.) = -139.52
- total magnetic moment (μB per formula unit) = 0.01
- ΔH_f (0 K) (meV/atom) = -659.3